## Tl3HgSbPb (PBE)

Data for a relaxed structure of Tl3HgSbPb.

Computed properties:
E_tot: -2.5457 eV per atom
Formation energy from raw total energies: -0.04 eV per formula unit
Calculated volume: 30.54 Å³ per atom
Calculated density: 10356 kg/m3

Cell lengths 4.316, 8.331, 11.204 Å; angles 114.54, 90.00, 90.00 degrees
Fractional coordinates of all 12 atoms:
Tl 0.250 0.624 0.788
Tl 0.750 0.360 0.532
Tl 0.750 0.871 0.048
Tl 0.250 0.640 0.468
Tl 0.750 0.376 0.212
Tl 0.250 0.129 0.952
Hg 0.250 0.616 0.121
Hg 0.750 0.384 0.879
Sb 0.750 0.881 0.711
Sb 0.250 0.119 0.289
Pb 0.750 0.892 0.367
Pb 0.250 0.108 0.633